The following is a PBE-GGA calculation of an optimized crystal structure of Rb2Ga5Pt3, from the Alexandria database.

Structure (CIF):
```
data_Rb2Ga5Pt3
_symmetry_space_group_name_H-M 'C 1 2/c 1'
_symmetry_Int_Tables_number 15
_symmetry_space_group_name_Hall '-C 2yc'
_cell_length_a 14.774
_cell_length_b 10.577
_cell_length_c 6.317
_cell_angle_alpha 90.00
_cell_angle_beta 114.99
_cell_angle_gamma 90.00
loop_
_atom_site_label
_atom_site_fract_x
_atom_site_fract_y
_atom_site_fract_z
Rb1 0.130 0.242 0.129
Ga1 0.000 0.498 0.250
Ga2 0.116 0.125 0.615
Ga3 0.234 0.499 0.985
Pt1 0.000 0.000 0.250
Pt2 0.118 0.375 0.619
```

Output
Magnetic moment = 0.00 μB/atom
Calculated total energy = -155.38 eV per cell